This record from the Alexandria database describes crystalline KCa2Fe at its relaxed geometry. The functional is PBE-GGA.

abc: 3.7006 3.7006 10.5801
angles: 90.00 90.00 89.98
Closest atoms and distances in Å follow each position.
Atoms (fractional coordinates):
Fe 0.0000 0.0000 0.4595  4 Ca 3.06
Ca 0.0000 0.0000 0.0366  8 Ca 3.70-3.90
Ca 0.5000 0.5000 0.3095  4 Fe 3.06
K 0.5000 0.5000 0.6944  4 Fe 3.61, 4 K 3.70

Energy above the most stable polymorph in this dataset in meV per atom: 162
Energy of formation in kcal/mol of atoms: 13.02
Fermi-level density of states in states/eV per cell: 4.0
Total magnetization in μB/f.u.: 2.77


This record from the Alexandria database describes crystalline RhPb2Au at its relaxed geometry. The functional is PBE-GGA.

abc: 3.4520 3.4520 7.7368
angles: 90.00 90.00 90.00
Closest atoms and distances in Å follow each position.
Atoms (fractional coordinates):
Au 0.5000 0.5000 0.7176  4 Rh 2.88, 5 Pb 2.99-3.07
Rh 0.0000 0.0000 0.5208  4 Au 2.88, 4 Pb 2.89
Pb 0.0000 0.0000 0.9404  4 Au 2.99, 1 Rh 3.25
Pb 0.5000 0.5000 0.3212  4 Rh 2.89, 1 Au 3.07

Energy of formation in kcal/mol of atoms: 0.84
Fermi-level density of states in states/eV per cell: 2.8
Total magnetization in μB/f.u.: 0.00